A geometry-optimized BeCuSi structure, computed with PBE.

Properties
Space-group type: P1 (1)
Theoretical density: 4.35 g cm⁻³
Magnetization: 0.00 μB/f.u.
E_form (uncorrected): 0.042 eV/atom
Raw total energy: -4.37 eV per atom

a b c (Å): 3.873 3.902 5.580
angles (deg): 91.20 103.51 109.63
Sites, in units of the cell vectors:
Be 0.000 0.000 0.000
Be 0.398 0.265 0.386
Cu 0.415 0.936 0.723
Cu 0.978 0.640 0.315
Si 0.392 0.631 0.070
Si 0.996 0.272 0.642